MnFeAu | PBE | optimized geometry

E_form in eV per atom: 0.186
VASP energy in Ha/atom: -0.2493
D(E_F) in states/eV per atom: 0.779
Excess energy over the best structure of this formula in the dataset in meV/atom: 24

a = 5.035 Å, b = 5.035 Å, c = 5.035 Å
α = 146.51°, β = 140.74°, γ = 52.54°
Site moments in Bohr magnetons follow the coordinates.
Atoms (fractional coordinates):
Mn: 0.675 0.675 0.000  3.42
Au: 0.998 0.998 0.000  0.09
Fe: 0.326 0.326 0.000  2.81